(1)
# Y3Ho5Er4

An optimized crystal structure of Y3Ho5Er4 (PBE-GGA, Alexandria). Values from VASP.

Its formation energy is 0.0237 eV/atom.

```
&SYSTEM
  ibrav = 0, nat = 12, ntyp = 3
/
ATOMIC_SPECIES
Ho 164.93 Ho.upf
Er 167.26 Er.upf
Y 88.91 Y.upf
CELL_PARAMETERS angstrom
-4.211 1.300 -5.524
8.943 -6.645 0.656
-12.528 1.979 0.990
ATOMIC_POSITIONS angstrom
Ho -9.112 -1.008 -0.069
Ho 1.315 -2.358 -3.810
Er 0.199 -1.671 -0.540
Y -5.140 0.301 -2.794
Y -2.657 -3.666 -1.085
Y -6.264 0.989 0.495
Er -7.996 -1.694 -3.339
Ho -8.370 1.640 -2.267
Er -4.770 -3.025 -3.854
Ho -1.909 -1.012 -3.305
Er -3.027 -0.340 -0.024
Ho -5.888 -2.353 -0.574
```

***

(2)
# RhWAu4

An optimized crystal structure of RhWAu4 (PBE-GGA, Alexandria). Values from VASP.

Its formation energy is 0.7278 eV/atom.

```
&SYSTEM
  ibrav = 0, nat = 6, ntyp = 3
/
ATOMIC_SPECIES
Rh 102.91 Rh.upf
Au 196.97 Au.upf
W 183.84 W.upf
CELL_PARAMETERS angstrom
-0.695 -4.870 -2.055
-4.354 -2.818 1.235
-3.771 -0.828 -3.677
ATOMIC_POSITIONS angstrom
Rh -6.615 -6.387 -3.373
Au -3.655 -5.629 -2.714
W 0.000 0.000 0.000
Au -5.193 -3.608 -3.525
Au -5.485 -4.603 -1.069
Au -3.308 -3.194 -1.687
```

***

(3)
# Al2Co2Pb

An optimized crystal structure of Al2Co2Pb (PBE-GGA, Alexandria). Values from VASP.

Its formation energy is 0.1749 eV/atom.

```
&SYSTEM
  ibrav = 0, nat = 5, ntyp = 3
/
ATOMIC_SPECIES
Co 58.93 Co.upf
Pb 207.20 Pb.upf
Al 26.98 Al.upf
CELL_PARAMETERS angstrom
-3.273 2.277 0.898
-0.113 -1.639 3.742
1.372 4.046 4.045
ATOMIC_POSITIONS angstrom
Co -1.797 3.321 3.631
Pb 0.000 0.000 0.000
Co -0.217 1.363 5.053
Al -0.861 1.331 2.788
Al -1.153 3.353 5.896
```

***

(4)
# Y2HfTlC

An optimized crystal structure of Y2HfTlC (PBE-GGA, Alexandria). Values from VASP.

Its formation energy is -0.4150 eV/atom.

```
&SYSTEM
  ibrav = 0, nat = 5, ntyp = 4
/
ATOMIC_SPECIES
C 12.01 C.upf
Y 88.91 Y.upf
Tl 204.38 Tl.upf
Hf 178.49 Hf.upf
CELL_PARAMETERS angstrom
4.909 0.000 0.000
0.000 4.909 0.000
0.000 0.000 4.561
ATOMIC_POSITIONS angstrom
C 0.000 0.000 0.000
Y 0.000 2.455 0.000
Y 2.455 0.000 0.000
Tl 2.455 2.455 2.281
Hf 0.000 0.000 2.281
```

***

Repeat the first record exactly.
# Y3Ho5Er4

An optimized crystal structure of Y3Ho5Er4 (PBE-GGA, Alexandria). Values from VASP.

Its formation energy is 0.0237 eV/atom.

```
&SYSTEM
  ibrav = 0, nat = 12, ntyp = 3
/
ATOMIC_SPECIES
Ho 164.93 Ho.upf
Er 167.26 Er.upf
Y 88.91 Y.upf
CELL_PARAMETERS angstrom
-4.211 1.300 -5.524
8.943 -6.645 0.656
-12.528 1.979 0.990
ATOMIC_POSITIONS angstrom
Ho -9.112 -1.008 -0.069
Ho 1.315 -2.358 -3.810
Er 0.199 -1.671 -0.540
Y -5.140 0.301 -2.794
Y -2.657 -3.666 -1.085
Y -6.264 0.989 0.495
Er -7.996 -1.694 -3.339
Ho -8.370 1.640 -2.267
Er -4.770 -3.025 -3.854
Ho -1.909 -1.012 -3.305
Er -3.027 -0.340 -0.024
Ho -5.888 -2.353 -0.574
```

***

Q: What is the formula in the first record?
A: Y3Ho5Er4

***

Copy entry 4 word for word.
# Y2HfTlC

An optimized crystal structure of Y2HfTlC (PBE-GGA, Alexandria). Values from VASP.

Its formation energy is -0.4150 eV/atom.

```
&SYSTEM
  ibrav = 0, nat = 5, ntyp = 4
/
ATOMIC_SPECIES
C 12.01 C.upf
Y 88.91 Y.upf
Tl 204.38 Tl.upf
Hf 178.49 Hf.upf
CELL_PARAMETERS angstrom
4.909 0.000 0.000
0.000 4.909 0.000
0.000 0.000 4.561
ATOMIC_POSITIONS angstrom
C 0.000 0.000 0.000
Y 0.000 2.455 0.000
Y 2.455 0.000 0.000
Tl 2.455 2.455 2.281
Hf 0.000 0.000 2.281
```